Na5BiAs2, relaxed, DFT PBE; calculated volume = 27.39 A^3/atom; space-group type = Immm (71); ΔH_f (0 K) = -0.21 eV/atom
1.0
-2.3522 4.6245 5.0351
2.3522 -4.6245 5.0351
2.3522 4.6245 -5.0351
Na Bi As
5 1 2
direct
0.0000 0.0000 0.0000 Na
0.0001 0.3169 0.6831 Na
0.9999 0.6831 0.3169 Na
0.3662 0.6831 0.6831 Na
0.6338 0.3169 0.3169 Na
0.5000 0.0000 0.5000 Bi
0.2853 0.2853 0.0000 As
0.7147 0.7147 0.0000 As

Na8BiAs2, relaxed, DFT PBE; distance to the lowest polymorph of the same formula = 15.6 meV per atom; calculated volume = 27.28 A^3/atom; space-group type = P1 (1); ΔH_f (0 K) = -0.34 eV/atom
1.0
5.1957 0.0000 0.0000
-0.0749 7.2000 0.0000
-2.5548 -3.5977 8.0225
Na Bi As
8 1 2
direct
0.0000 0.0000 0.0000 Na
0.0282 0.4891 0.0570 Na
0.2341 0.3574 0.4433 Na
0.3596 0.8809 0.6549 Na
0.4460 0.5698 0.8672 Na
0.6264 0.0876 0.2535 Na
0.6550 0.6552 0.3101 Na
0.8933 0.1447 0.6558 Na
0.8433 0.5927 0.6550 Bi
0.1555 0.9120 0.3232 As
0.4875 0.2436 0.9865 As

Na8BiAs2, relaxed, DFT PBE; distance to the lowest polymorph of the same formula = 0.0 meV per atom; calculated volume = 26.39 A^3/atom; space-group type = Immm (71); ΔH_f (0 K) = -0.36 eV/atom
1.0
-2.4203 4.0138 7.4702
2.4203 -4.0138 7.4702
2.4203 4.0138 -7.4702
Na Bi As
8 1 2
direct
0.1172 0.3370 0.7802 Na
0.1641 0.1641 0.0000 Na
0.3066 0.0000 0.3066 Na
0.4432 0.6630 0.7802 Na
0.5568 0.3370 0.2198 Na
0.6934 0.0000 0.6934 Na
0.8359 0.8359 0.0000 Na
0.8828 0.6630 0.2198 Na
0.0000 0.5000 0.5000 Bi
0.3152 0.8152 0.5000 As
0.6848 0.1848 0.5000 As

NaBiAs, relaxed, DFT PBE; distance to the lowest polymorph of the same formula = 10.5 meV per atom; calculated volume = 29.85 A^3/atom; space-group type = F-43m (216); ΔH_f (0 K) = -0.11 eV/atom
1.0
0.0000 3.5510 3.5510
3.5510 0.0000 3.5510
3.5510 3.5510 0.0000
Na Bi As
1 1 1
direct
0.0000 0.0000 0.0000 Na
0.5000 0.5000 0.5000 Bi
0.7500 0.7500 0.7500 As

Na8Bi2As, relaxed, DFT PBE; distance to the lowest polymorph of the same formula = 8.5 meV per atom; calculated volume = 29.44 A^3/atom; space-group type = Cm (8); ΔH_f (0 K) = -0.34 eV/atom
1.0
9.1253 -2.4670 0.0000
9.1253 2.4670 0.0000
-3.5053 0.0000 7.1924
Na Bi As
8 2 1
direct
0.0000 0.0000 0.0000 Na
0.0958 0.0958 0.7367 Na
0.2991 0.2991 0.2808 Na
0.3491 0.3491 0.8157 Na
0.5001 0.5001 0.3533 Na
0.6511 0.6511 0.1175 Na
0.7014 0.7014 0.6816 Na
0.9056 0.9056 0.5452 Na
0.1566 0.1566 0.4055 Bi
0.8432 0.8432 0.0922 Bi
0.5002 0.5002 0.7433 As

NaBiAs2, relaxed, DFT PBE; distance to the lowest polymorph of the same formula = 0.0 meV per atom; calculated volume = 26.98 A^3/atom; space-group type = R-3m (166); ΔH_f (0 K) = 0.02 eV/atom
1.0
1.9957 1.1522 7.8230
-1.9957 1.1522 7.8230
0.0000 -2.3044 7.8230
Na Bi As
1 1 2
direct
0.0000 0.0000 0.0000 Na
0.5000 0.5000 0.5000 Bi
0.2428 0.2428 0.2428 As
0.7572 0.7572 0.7572 As

Asked for VASP energy across the records above, the calculation gives -21.477 -27.509 -27.680 -10.193 -26.669 -14.419 eV per cell in order.